Density functional theory data (PBE-GGA) for K2MgAu after structural relaxation.

## Properties
Volume   339 Å³/cell
Total moment   0.0 μB/f.u.
Crystal system   monoclinic
Total DFT energy (no corrections)   -1.972 eV per atom
ΔE_f   -0.21 eV per atom

Lattice parameters (Å, degrees): 8.142 4.662 9.298 90.00 106.24 90.00
Space group Cm (No. 8)
One atom of each set of equivalent atoms:
K 0.000 0.000 0.000 x2
K 0.175 0.000 0.548 x2
Mg 0.420 0.000 0.275 x2
Au 0.252 0.500 0.274 x2